{
  "formula": "Tm5Pa3N12",
  "functional": "PBE",
  "state": "optimized geometry",
  "space_group": "No. 230",
  "crystal_system": "cubic",
  "e_form_raw_ev_per_fu": -19.3,
  "dos_at_fermi_per_ev_atom": 0.607,
  "cell": [[-8.677, 7.621, -0.063], [-3.244, -9.478, 5.745], [9.198, 4.682, 5.180]],
  "species": ["N", "N", "N", "N", "N", "N", "N", "N", "N", "N", "N", "N", "N", "N", "N", "N", "N", "N", "N", "N", "N", "N", "N", "N", "N", "N", "N", "N", "N", "N", "N", "N", "N", "N", "N", "N", "N", "N", "N", "N", "N", "N", "N", "N", "N", "N", "N", "N", "Tm", "Tm", "Tm", "Tm", "Tm", "Tm", "Tm", "Tm", "Tm", "Tm", "Tm", "Tm", "Tm", "Tm", "Tm", "Tm", "Tm", "Tm", "Tm", "Tm", "Pa", "Pa", "Pa", "Pa", "Pa", "Pa", "Pa", "Pa", "Pa", "Pa", "Pa", "Pa"],
  "fractional_positions": [[0.941, 0.366, 0.266], [0.174, 0.074, 0.941], [0.866, 0.600, 0.926], [0.826, 0.900, 0.266], [0.559, 0.234, 0.134], [0.174, 0.100, 0.734], [0.734, 0.600, 0.174], [0.866, 0.266, 0.441], [0.326, 0.766, 0.400], [0.574, 0.941, 0.674], [0.574, 0.634, 0.400], [0.674, 0.441, 0.574], [0.426, 0.059, 0.326], [0.900, 0.074, 0.634], [0.559, 0.326, 0.926], [0.400, 0.134, 0.574], [0.600, 0.866, 0.426], [0.059, 0.634, 0.734], [0.634, 0.059, 0.234], [0.134, 0.734, 0.559], [0.766, 0.441, 0.366], [0.941, 0.574, 0.174], [0.926, 0.100, 0.866], [0.600, 0.734, 0.674], [0.766, 0.326, 0.900], [0.074, 0.174, 0.441], [0.074, 0.900, 0.134], [0.266, 0.866, 0.941], [0.734, 0.134, 0.059], [0.634, 0.574, 0.900], [0.826, 0.926, 0.059], [0.426, 0.366, 0.600], [0.926, 0.826, 0.559], [0.326, 0.559, 0.426], [0.059, 0.426, 0.826], [0.234, 0.674, 0.100], [0.366, 0.426, 0.100], [0.134, 0.400, 0.074], [0.674, 0.234, 0.600], [0.234, 0.559, 0.634], [0.266, 0.400, 0.826], [0.900, 0.826, 0.766], [0.441, 0.766, 0.866], [0.400, 0.266, 0.326], [0.100, 0.926, 0.366], [0.100, 0.174, 0.234], [0.366, 0.941, 0.766], [0.441, 0.674, 0.074], [0.125, 0.750, 0.375], [0.375, 0.125, 0.750], [0.500, 0.500, 0.500], [0.000, 0.500, 0.000], [0.000, 0.500, 0.500], [0.000, 0.000, 0.000], [0.750, 0.125, 0.875], [0.750, 0.625, 0.375], [0.500, 0.000, 0.500], [0.625, 0.750, 0.875], [0.500, 0.500, 0.000], [0.875, 0.625, 0.750], [0.250, 0.875, 0.125], [0.000, 0.000, 0.500], [0.875, 0.250, 0.625], [0.375, 0.250, 0.125], [0.625, 0.875, 0.250], [0.250, 0.375, 0.625], [0.500, 0.000, 0.000], [0.125, 0.375, 0.250], [0.375, 0.750, 0.625], [0.875, 0.750, 0.125], [0.125, 0.875, 0.750], [0.750, 0.875, 0.625], [0.125, 0.250, 0.875], [0.750, 0.375, 0.125], [0.250, 0.125, 0.375], [0.625, 0.375, 0.750], [0.375, 0.625, 0.250], [0.875, 0.125, 0.250], [0.625, 0.250, 0.375], [0.250, 0.625, 0.875]]
}